1.
Below is a relaxed structure of Pr6C2NO3, with properties calculated at the PBE-GGA level.

abc: 16.120 3.711 7.391
angles: 90.00 103.03 90.00
Space group C2/m (No. 12)
Asymmetric unit:
Pr1 0.002 0.000 0.246 x4
Pr2 0.165 0.500 0.086 x4
Pr3 0.167 0.500 0.582 x4
C1 0.164 0.000 0.329 x4
N1 0.000 0.500 0.000 x2
O1 0.000 0.500 0.500 x2
O2 0.167 0.000 0.834 x4

Results
* volume: 430.8 Å³/cell
* ρ: 7.181 g/cm³
* E: -7.52 eV/atom

---

2.
Below is a relaxed structure of CaIn2Rh2, with properties calculated at the PBE-GGA level.

abc: 7.821 7.821 3.191
angles: 90.00 90.00 90.00
Space group P4/mbm (No. 127)
Asymmetric unit:
Ca1 0.000 0.000 0.000 x2
In1 0.148 0.352 0.500 x4
Rh1 0.147 0.647 0.000 x4

Results
* E_form: -0.49 eV/atom
* volume: 195.2 Å³/cell
* ρ: 8.092 g/cm³
* E: -4.93 eV/atom